# 1
DFT (PBE-GGA) results for crystalline CeNdPtI at its relaxed geometry.

Lattice parameters (Å, degrees): 4.248 4.247 8.483 90.00 104.50 120.00
Sites, in units of the cell vectors:
1 Ce 0.095 0.945 0.055
2 Nd 0.511 0.153 0.679
3 Pt 0.307 0.551 0.874
4 I 0.965 0.381 0.361

Calculated volume: 31.7 A^3/atom
Energy: -0.20629 hartree per atom
Raw formation energy: -1.04 eV per atom
D(E_F): 2.375 states/eV/atom

# 2
DFT (PBE-GGA) results for crystalline MgAl6Zn12 at its relaxed geometry.

Lattice parameters (Å, degrees): 7.248 7.248 7.248 105.09 105.09 105.09
Sites, in units of the cell vectors:
1 Mg 0.000 0.000 0.000
2 Al 0.705 0.310 0.310
3 Al 0.310 0.310 0.705
4 Al 0.310 0.705 0.310
5 Al 0.690 0.690 0.295
6 Al 0.295 0.690 0.690
7 Al 0.690 0.295 0.690
8 Zn 0.891 0.109 0.500
9 Zn 0.891 0.653 0.653
10 Zn 0.653 0.653 0.891
11 Zn 0.347 0.109 0.347
12 Zn 0.347 0.347 0.109
13 Zn 0.109 0.347 0.347
14 Zn 0.109 0.500 0.891
15 Zn 0.500 0.891 0.109
16 Zn 0.109 0.891 0.500
17 Zn 0.891 0.500 0.109
18 Zn 0.500 0.109 0.891
19 Zn 0.653 0.891 0.653

Energy relative to the elements: 0.084 eV/atom
Calculated volume: 17.5 A^3/atom
Energy: -0.07300 hartree per atom
Offset from the most stable computed form: 1.41 eV per formula unit
D(E_F): 0.431 states/eV/atom

# 3
DFT (PBE-GGA) results for crystalline CsNpCd2O6 at its relaxed geometry.

Lattice parameters (Å, degrees): 6.645 6.502 6.214 61.47 62.14 54.07
Sites, in units of the cell vectors:
1 Cs 0.708 0.827 0.600
2 Np 0.325 0.317 0.047
3 Cd 0.697 0.484 0.277
4 Cd 0.955 0.138 0.821
5 O 0.589 0.301 0.151
6 O 0.497 0.925 0.156
7 O 0.067 0.331 0.399
8 O 0.166 0.706 0.932
9 O 0.589 0.301 0.694
10 O 0.067 0.332 0.938

Calculated volume: 18.4 A^3/atom
Energy: -0.23360 hartree per atom
Raw formation energy: -1.82 eV per atom

# 4
DFT (PBE-GGA) results for crystalline La5Nd4Ho2 at its relaxed geometry.

Lattice parameters (Å, degrees): 3.578 9.119 11.988 94.55 90.00 90.00
Sites, in units of the cell vectors:
1 La 0.000 0.568 0.292
2 La 0.000 0.195 0.167
3 La 0.000 0.500 0.000
4 La 0.000 0.805 0.833
5 La 0.000 0.432 0.708
6 Nd 0.500 0.719 0.549
7 Nd 0.500 0.158 0.889
8 Nd 0.500 0.281 0.451
9 Nd 0.500 0.842 0.111
10 Ho 0.000 0.057 0.635
11 Ho 0.000 0.943 0.365

Energy relative to the elements: 0.074 eV/atom
Calculated volume: 35.4 A^3/atom
Energy: -0.17391 hartree per atom
Offset from the most stable computed form: 0.00 eV per formula unit
D(E_F): 1.663 states/eV/atom

# 5
DFT (PBE-GGA) results for crystalline MgCd3Br at its relaxed geometry.

Lattice parameters (Å, degrees): 5.768 5.768 5.768 90.00 90.00 90.00
Sites, in units of the cell vectors:
1 Mg 0.500 0.500 0.500
2 Br 0.000 0.000 0.000
3 Cd 0.000 0.500 0.000
4 Cd 0.000 0.000 0.500
5 Cd 0.500 0.000 0.000

Calculated volume: 38.4 A^3/atom
Energy: -0.02738 hartree per atom
Offset from the most stable computed form: 1.87 eV per formula unit
Raw formation energy: 0.46 eV per atom
D(E_F): 0.837 states/eV/atom